The following is a PBE calculation of LaGa2POs2 after structural relaxation, from Alexandria.

Results
Energy of formation from the pure elements (eV/atom): -0.263
Volume (Å³/atom): 19.01

abc: 4.462 4.462 5.728
angles: 90.00 90.00 90.00
Positions (direct):
La (0.000, 0.000, 0.500)
Ga (0.500, 0.500, 0.726)
Ga (0.500, 0.500, 0.274)
P (0.000, 0.000, 0.000)
Os (0.500, 0.000, 0.000)
Os (0.000, 0.500, 0.000)

---

The following is a PBE calculation of K3CaMg2F9 after structural relaxation, from Alexandria.

Results
Volume (Å³/atom): 14.65
Formation energy (no corrections) (eV per atom): -3.35

abc: 5.902 5.902 7.283
angles: 90.00 90.00 120.00
Positions (direct):
K (0.333, 0.667, 0.674)
K (0.000, 0.000, 0.000)
K (0.667, 0.333, 0.326)
Ca (0.000, 0.000, 0.500)
Mg (0.333, 0.667, 0.156)
Mg (0.667, 0.333, 0.844)
F (0.825, 0.175, 0.682)
F (0.825, 0.650, 0.682)
F (0.350, 0.175, 0.682)
F (0.650, 0.825, 0.318)
F (0.175, 0.350, 0.318)
F (0.175, 0.825, 0.318)
F (0.500, 0.000, 0.000)
F (0.000, 0.500, 0.000)
F (0.500, 0.500, 0.000)

---

The following is a PBE calculation of ThPaInRu3 after structural relaxation, from Alexandria.

Results
Energy of formation from the pure elements (eV/atom): -0.031
Volume (Å³/atom): 24.12

abc: 5.521 6.217 8.988
angles: 110.23 90.00 90.00
Positions (direct):
Th (0.750, 0.244, 0.488)
Th (0.250, 0.756, 0.512)
Pa (0.250, 0.062, 0.124)
Pa (0.750, 0.938, 0.876)
In (0.250, 0.380, 0.760)
In (0.750, 0.620, 0.240)
Ru (0.250, 0.225, 0.449)
Ru (0.000, 0.291, 0.000)
Ru (0.500, 0.709, 0.000)
Ru (0.500, 0.291, 0.000)
Ru (0.000, 0.709, 0.000)
Ru (0.750, 0.775, 0.551)

---

- What is the formula in the second record?
  K3CaMg2F9